DFT (PBE) results for an optimized crystal structure of MgNp.

It has space group Amm2 (No. 38), with a = 4.802 Å, b = 14.595 Å, c = 6.136 Å, α = 90.00°, β = 90.00° and γ = 90.00°. The distinct sites, in fractional coordinates, are Mg at (0.000, 0.000, 0.000), Mg at (0.000, 0.094, 0.560), Mg at (0.500, 0.109, 0.812), Np at (0.000, 0.202, 0.136), Np at (0.500, 0.000, 0.300) and Np at (0.500, 0.169, 0.297).

As for the total energy: -6.801 eV/atom. The density comes out at 10.09 g/cm3. The size of the total moment is 2.5 μB/f.u. The value obtained for the calculated volume is 430.04 Å³/cell.